A plane-wave DFT calculation with PBE was carried out for crystalline La2SmGd at its relaxed geometry.

Cell: 5.136 5.221 5.221 Å, 90.00 90.00 90.00°
Element x y z (fractional)
1 Gd 0.500 0.500 0.500
2 Sm 0.500 0.000 0.000
3 La 0.000 0.000 0.500
4 La 0.000 0.500 0.000

Computed properties:
magnetization = 7.42 μB per formula unit
formation energy from the elements = 0.01 eV/atom
space group = No. 123

A plane-wave DFT calculation with PBE was carried out for crystalline Ba3Na2Ni at its relaxed geometry.

Cell: 8.910 7.904 7.904 Å, 99.59 90.00 90.00°
Element x y z (fractional)
1 Ba 0.750 0.690 0.690
2 Ba 0.250 0.310 0.310
3 Ba 0.500 0.172 0.828
4 Ba 0.000 0.172 0.828
5 Ba 0.500 0.828 0.172
6 Ba 0.000 0.828 0.172
7 Na 0.250 0.839 0.584
8 Na 0.750 0.161 0.416
9 Na 0.750 0.416 0.161
10 Na 0.250 0.584 0.839
11 Ni 0.250 0.995 0.995
12 Ni 0.750 0.005 0.005

Computed properties:
magnetization = 0.00 μB per formula unit
formation energy from the elements = 0.06 eV/atom
space group = No. 63